Entry 1:
# Li3CaSe4O12

A relaxed Li3CaSe4O12 crystal (PBE, the Alexandria database).

```
Li3CaSe4O12
1.0
6.726 -0.095 -0.132
-1.713 6.505 -0.132
-1.713 -2.190 6.127
Li Ca Se O
3 1 4 12
Direct
0.573 0.427 0.000
0.427 0.000 0.573
0.000 0.573 0.427
0.000 0.000 0.000
0.912 0.088 0.500
0.088 0.500 0.912
0.500 0.912 0.088
0.500 0.500 0.500
0.500 0.346 0.654
0.931 0.500 0.069
0.069 0.931 0.500
0.500 0.069 0.931
0.346 0.010 0.244
0.244 0.346 0.010
0.010 0.244 0.346
0.654 0.756 0.990
0.990 0.654 0.756
0.756 0.990 0.654
0.654 0.500 0.346
0.346 0.654 0.500
```

Summary:
The density of states at the Fermi level comes out at 0.467 states/eV per atom. Its uncorrected formation energy is -946.7 meV/atom. As for the total energy: -5.01 eV/atom. The calculation puts the total magnetization at 0.000 μB/cell.

=====

Entry 2:
# Li2Ca2Si2O7

A relaxed Li2Ca2Si2O7 crystal (PBE, the Alexandria database).

```
Li2Ca2Si2O7
1.0
-3.982 -2.687 1.877
3.891 1.350 3.103
-19.672 35.575 9.191
Li Ca Si O
12 12 12 42
Direct
0.704 0.293 0.474
0.589 0.296 0.141
0.707 0.411 0.807
0.296 0.707 0.974
0.411 0.704 0.641
0.293 0.589 0.307
0.293 0.704 0.526
0.296 0.589 0.859
0.411 0.707 0.193
0.707 0.296 0.026
0.704 0.411 0.359
0.589 0.293 0.693
0.030 0.030 0.500
0.000 0.970 0.167
0.970 0.000 0.833
0.970 0.970 0.000
0.000 0.030 0.667
0.030 0.000 0.333
0.063 0.032 0.417
0.968 0.937 0.083
0.968 0.032 0.750
0.937 0.968 0.917
0.032 0.063 0.583
0.032 0.968 0.250
0.365 0.639 0.454
0.274 0.635 0.121
0.361 0.726 0.787
0.635 0.361 0.954
0.726 0.365 0.621
0.639 0.274 0.287
0.639 0.365 0.546
0.635 0.274 0.879
0.726 0.361 0.213
0.361 0.635 0.046
0.365 0.726 0.379
0.274 0.639 0.713
0.217 0.608 0.417
0.392 0.783 0.083
0.392 0.608 0.750
0.783 0.392 0.917
0.608 0.217 0.583
0.608 0.392 0.250
0.371 0.326 0.459
0.955 0.629 0.126
0.674 0.045 0.792
0.629 0.674 0.959
0.045 0.371 0.626
0.326 0.955 0.292
0.326 0.371 0.541
0.629 0.955 0.874
0.045 0.674 0.208
0.674 0.629 0.041
0.371 0.045 0.374
0.955 0.326 0.708
0.700 0.933 0.455
0.232 0.300 0.122
0.067 0.768 0.789
0.300 0.067 0.955
0.768 0.700 0.622
0.933 0.232 0.289
0.933 0.700 0.545
0.300 0.232 0.878
0.768 0.067 0.211
0.067 0.300 0.045
0.700 0.768 0.378
0.232 0.933 0.711
0.648 0.125 0.521
0.477 0.352 0.188
0.875 0.523 0.854
0.352 0.875 0.021
0.523 0.648 0.688
0.125 0.477 0.354
0.125 0.648 0.479
0.352 0.477 0.812
0.523 0.875 0.146
0.875 0.352 0.979
0.648 0.523 0.312
0.477 0.125 0.646
```

Summary:
The density of states at the Fermi level comes out at 0.000 states/eV per atom. Its uncorrected formation energy is -2816.4 meV/atom. As for the total energy: -6.92 eV/atom. The calculation puts the total magnetization at 0.000 μB/cell.

=====

Entry 3:
# LiCa2SnO

A relaxed LiCa2SnO crystal (PBE, the Alexandria database).

```
LiCa2SnO
1.0
-4.107 -1.380 2.126
1.675 -4.516 0.303
1.741 0.911 3.954
Ca Sn O Li
2 1 1 1
Direct
0.000 0.500 0.000
0.500 0.000 0.000
0.500 0.500 0.500
0.000 0.000 0.000
0.000 0.000 0.500
```

Summary:
The density of states at the Fermi level comes out at 0.870 states/eV per atom. Its uncorrected formation energy is -1410.9 meV/atom. As for the total energy: -4.39 eV/atom. The calculation puts the total magnetization at 0.000 μB/cell.

=====

Entry 4:
# LiCa2SnO4

A relaxed LiCa2SnO4 crystal (PBE, the Alexandria database).

```
LiCa2SnO4
1.0
-2.426 1.756 -1.692
-4.054 -2.778 2.930
1.330 4.665 2.934
Li Ca Sn O
1 2 1 4
Direct
0.000 0.000 0.000
0.500 0.000 0.500
0.000 0.500 0.500
0.500 0.500 0.000
0.500 0.264 0.252
0.500 0.736 0.748
0.000 0.251 0.764
0.000 0.749 0.236
```

Summary:
The density of states at the Fermi level comes out at 0.235 states/eV per atom. Its uncorrected formation energy is -2156.4 meV/atom. As for the total energy: -5.88 eV/atom. The calculation puts the total magnetization at 0.000 μB/cell.

=====

Entry 5:
# SrLiCa2O

A relaxed SrLiCa2O crystal (PBE, the Alexandria database).

```
SrLiCa2O
1.0
-2.821 3.936 0.372
-3.521 -2.293 -2.436
-2.087 -1.955 4.857
Sr Ca O Li
1 2 1 1
Direct
0.000 0.000 0.500
0.000 0.500 0.000
0.500 0.000 0.000
0.000 0.000 0.000
0.500 0.500 0.500
```

Summary:
The density of states at the Fermi level comes out at 0.826 states/eV per atom. Its uncorrected formation energy is -1053.8 meV/atom. As for the total energy: -3.57 eV/atom. The calculation puts the total magnetization at 0.000 μB/cell.

=====

Entry 6:
# LiCaTaO4

A relaxed LiCaTaO4 crystal (PBE, the Alexandria database).

```
LiCaTaO4
1.0
6.218 0.000 0.000
-3.109 5.730 -0.160
0.000 -3.236 5.322
Li Ca Ta O
2 2 2 8
Direct
0.500 0.500 0.500
0.000 0.500 0.500
0.852 0.705 0.102
0.148 0.295 0.898
0.500 0.000 0.500
0.500 0.000 0.000
0.702 0.405 0.687
0.285 0.000 0.250
0.715 0.000 0.250
0.702 0.405 0.218
0.298 0.595 0.782
0.715 0.000 0.750
0.285 0.000 0.750
0.298 0.595 0.313
```

Summary:
The density of states at the Fermi level comes out at 0.000 states/eV per atom. Its uncorrected formation energy is -2722.7 meV/atom. As for the total energy: -7.81 eV/atom. The calculation puts the total magnetization at 0.000 μB/cell.